# 1
{
  "formula": "BaTb2Ru",
  "functional": "PBE-GGA",
  "state": "relaxed",
  "lattice": [[-1.520, -2.914, -2.231], [2.409, -2.339, -2.123], [1.057, -8.530, 6.884]],
  "species": ["Ba", "Ru", "Tb", "Tb"],
  "frac_coords": [[0.000, 0.000, 0.000], [0.500, 0.500, 0.500], [0.880, 0.880, 0.361], [0.120, 0.120, 0.639]],
  "de_polymorph_ev_per_atom": 0.1616,
  "space_group": "R-3m (166)",
  "magmom_total_mub_per_cell": 0.000,
  "energy_ev_per_cell": -20.3,
  "delta_e_f_ev_per_atom": 0.033
}

***

# 2
{
  "formula": "Ho2Ga2Ni5Ge",
  "functional": "PBE-GGA",
  "state": "relaxed",
  "lattice": [[-2.592, 0.388, -1.816], [4.685, -4.085, -7.563], [-3.247, -8.817, 2.750]],
  "species": ["Ni", "Ni", "Ni", "Ni", "Ni", "Ni", "Ni", "Ni", "Ni", "Ni", "Ho", "Ho", "Ho", "Ho", "Ge", "Ge", "Ga", "Ga", "Ga", "Ga"],
  "frac_coords": [[0.500, 0.693, 0.450], [0.500, 0.550, 0.693], [0.500, 0.193, 0.050], [0.500, 0.050, 0.807], [0.500, 0.500, 0.000], [0.500, 0.000, 0.500], [0.500, 0.450, 0.307], [0.500, 0.950, 0.193], [0.500, 0.307, 0.550], [0.500, 0.807, 0.950], [0.000, 0.825, 0.675], [0.000, 0.325, 0.825], [0.000, 0.175, 0.325], [0.000, 0.675, 0.175], [0.000, 0.000, 0.000], [0.000, 0.500, 0.500], [0.000, 0.626, 0.874], [0.000, 0.126, 0.626], [0.000, 0.874, 0.374], [0.000, 0.374, 0.126]],
  "space_group": "P4/mbm (127)",
  "magmom_total_mub_per_cell": 0.000,
  "energy_ev_per_cell": -104.9,
  "delta_e_f_ev_per_atom": -0.372
}

***

# 3
{
  "formula": "CaAsSe2",
  "functional": "PBE-GGA",
  "state": "relaxed",
  "lattice": [[7.473, 0.007, 0.004], [6.273, 4.062, 0.004], [6.273, 1.857, 3.613]],
  "species": ["Se", "Se", "As", "Ca"],
  "frac_coords": [[0.008, 0.008, 0.008], [0.234, 0.234, 0.234], [0.520, 0.520, 0.520], [0.738, 0.738, 0.738]],
  "e_form_raw_ev_per_atom": -0.53,
  "space_group": "R3m (160)",
  "magmom_total_mub_per_cell": 0.000,
  "energy_ev_per_cell": -15.7
}

***

# 4
{
  "formula": "Pu2Zn6Ir",
  "functional": "PBE-GGA",
  "state": "relaxed",
  "lattice": [[6.292, -0.073, -0.042], [0.058, 5.441, 0.003], [0.058, 2.714, 4.716]],
  "species": ["Zn", "Zn", "Zn", "Zn", "Zn", "Zn", "Pu", "Pu", "Ir"],
  "frac_coords": [[0.338, 0.829, 0.343], [0.662, 0.171, 0.657], [0.338, 0.343, 0.829], [0.662, 0.171, 0.171], [0.662, 0.657, 0.171], [0.338, 0.829, 0.829], [0.098, 0.333, 0.333], [0.902, 0.667, 0.667], [0.000, 0.000, 0.000]],
  "space_group": "C2/m (12)",
  "magmom_total_mub_per_cell": 10.960,
  "energy_ev_per_cell": -47.0,
  "delta_e_f_ev_per_atom": -0.204
}

***

# 5
{
  "formula": "MgS3Br3",
  "functional": "PBE-GGA",
  "state": "relaxed",
  "lattice": [[-5.425, 3.676, 6.479], [-9.118, 0.849, -1.029], [-6.048, -4.982, 4.850]],
  "species": ["S", "S", "S", "S", "S", "S", "Br", "Br", "Br", "Br", "Br", "Br", "Mg", "Mg"],
  "frac_coords": [[0.033, 0.988, 0.776], [0.988, 0.776, 0.033], [0.012, 0.224, 0.967], [0.776, 0.033, 0.988], [0.967, 0.012, 0.224], [0.224, 0.967, 0.012], [0.667, 0.528, 0.059], [0.941, 0.333, 0.472], [0.472, 0.941, 0.333], [0.333, 0.472, 0.941], [0.528, 0.059, 0.667], [0.059, 0.667, 0.528], [0.254, 0.254, 0.254], [0.746, 0.746, 0.746]],
  "e_form_raw_ev_per_atom": -0.36,
  "space_group": "R-3 (148)",
  "magmom_total_mub_per_cell": 2.014,
  "energy_ev_per_cell": -43.0
}

***

# 6
{
  "formula": "Ac2Ga3Cu4Ir",
  "functional": "PBE-GGA",
  "state": "relaxed",
  "lattice": [[4.298, 0.000, 0.000], [0.000, 4.298, 0.000], [0.000, 0.000, 10.529]],
  "species": ["Ir", "Cu", "Cu", "Cu", "Cu", "Ga", "Ga", "Ga", "Ac", "Ac"],
  "frac_coords": [[0.500, 0.500, 0.500], [0.500, 0.000, 0.635], [0.500, 0.500, 0.000], [0.000, 0.500, 0.365], [0.000, 0.000, 0.000], [0.500, 0.000, 0.879], [0.000, 0.500, 0.121], [0.000, 0.000, 0.500], [0.000, 0.500, 0.743], [0.500, 0.000, 0.257]],
  "space_group": "P-4m2 (115)",
  "magmom_total_mub_per_cell": 0.000,
  "energy_ev_per_cell": -45.8,
  "delta_e_f_ev_per_atom": -0.326
}

***

# 7
{
  "formula": "YCd2Ru",
  "functional": "PBE-GGA",
  "state": "relaxed",
  "lattice": [[5.237, -0.008, 0.000], [1.525, 5.011, 0.000], [-3.381, -2.501, 3.121]],
  "species": ["Cd", "Cd", "Ru", "Y"],
  "frac_coords": [[0.250, 0.750, 0.500], [0.000, 0.000, 0.000], [0.500, 0.500, 0.000], [0.750, 0.250, 0.500]],
  "space_group": "I-4m2 (119)",
  "magmom_total_mub_per_cell": 0.000,
  "energy_ev_per_cell": -17.7,
  "delta_e_f_ev_per_atom": -0.029
}

***

# 8
{
  "formula": "TbCeMg",
  "functional": "PBE-GGA",
  "state": "relaxed",
  "lattice": [[-2.051, -4.123, 0.482], [1.245, -0.099, 4.458], [-7.073, 3.759, 2.059]],
  "species": ["Ce", "Ce", "Tb", "Tb", "Mg", "Mg"],
  "frac_coords": [[0.500, 0.000, 0.288], [0.000, 0.500, 0.712], [0.000, 0.500, 0.307], [0.500, 0.000, 0.693], [0.500, 0.500, 0.000], [0.000, 0.000, 0.000]],
  "de_polymorph_ev_per_atom": 0.2695,
  "space_group": "P4/nmm (129)",
  "magmom_total_mub_per_cell": 3.047,
  "energy_ev_per_cell": -22.5,
  "delta_e_f_ev_per_atom": 0.308
}

***

Copy entry 8 word for word.
{
  "formula": "TbCeMg",
  "functional": "PBE-GGA",
  "state": "relaxed",
  "lattice": [[-2.051, -4.123, 0.482], [1.245, -0.099, 4.458], [-7.073, 3.759, 2.059]],
  "species": ["Ce", "Ce", "Tb", "Tb", "Mg", "Mg"],
  "frac_coords": [[0.500, 0.000, 0.288], [0.000, 0.500, 0.712], [0.000, 0.500, 0.307], [0.500, 0.000, 0.693], [0.500, 0.500, 0.000], [0.000, 0.000, 0.000]],
  "de_polymorph_ev_per_atom": 0.2695,
  "space_group": "P4/nmm (129)",
  "magmom_total_mub_per_cell": 3.047,
  "energy_ev_per_cell": -22.5,
  "delta_e_f_ev_per_atom": 0.308
}